DFT (GGA-PBE) results for crystalline Y2HoThAs4 at its relaxed geometry.

Geometry as extended XYZ:
```
8
Lattice="7.1875 0.0000 0.0000 0.0000 4.1620 0.0000 -2.3978 0.0000 6.7782" Properties=species:S:1:pos:R:3 pbc="T T T"
Y 0.0000 0.0000 0.0000
Y 3.5938 2.0810 0.0000
Ho -1.1989 2.0810 3.3891
Th 2.3949 0.0000 3.3891
As 1.1679 2.0810 1.6663
As -0.0260 0.0000 5.0879
As 4.8157 0.0000 1.6903
As 3.6218 2.0810 5.1120
```

* mass density: 7.2 g/cm3
* E: -0.512 Ry/atom
* ΔH_f (0 K): -1.523 eV/atom